Record 1
! MgOsBr2 (GGA-PBE, relaxed); values from VASP
&SYSTEM
  ibrav = 0, nat = 4, ntyp = 3
/
ATOMIC_SPECIES
Br 79.90 Br.upf
Mg 24.30 Mg.upf
Os 190.23 Os.upf
CELL_PARAMETERS angstrom
-1.412 -2.810 0.379
2.806 -1.325 0.635
-1.100 1.680 8.363
ATOMIC_POSITIONS angstrom
Br 0.341 -1.525 3.207
Br -1.010 1.543 7.679
Mg -0.566 0.864 4.300
Os -0.123 -0.816 6.734
! - raw total energy (eV per atom) = -3.777
! - energy relative to the elements, uncorrected (eV/atom) = 0.265



Record 2
! MgOsBr2 (GGA-PBE, relaxed); values from VASP
&SYSTEM
  ibrav = 0, nat = 8, ntyp = 3
/
ATOMIC_SPECIES
Br 79.90 Br.upf
Mg 24.30 Mg.upf
Os 190.23 Os.upf
CELL_PARAMETERS angstrom
-2.603 -0.426 -3.839
-3.086 -2.556 2.376
-6.869 5.214 1.254
ATOMIC_POSITIONS angstrom
Br -10.207 1.238 -0.280
Br -7.207 2.857 0.332
Mg -6.399 0.584 1.449
Br -3.906 -0.336 1.415
Os -6.158 1.649 -1.658
Mg -2.844 -1.491 -0.732
Br -3.795 0.707 -1.885
Os 0.000 0.000 0.000
! - raw total energy (eV per atom) = -3.483
! - energy relative to the elements, uncorrected (eV/atom) = 0.560



Record 3
! MgOsBr2 (GGA-PBE, relaxed); values from VASP
&SYSTEM
  ibrav = 0, nat = 4, ntyp = 3
/
ATOMIC_SPECIES
Os 190.23 Os.upf
Br 79.90 Br.upf
Mg 24.30 Mg.upf
CELL_PARAMETERS angstrom
-1.906 -6.525 -2.897
3.094 -4.798 -4.690
0.239 4.239 6.048
ATOMIC_POSITIONS angstrom
Os 1.964 -3.111 -1.218
Br 0.141 -1.341 -0.898
Mg -0.536 -3.974 -0.322
Br 0.453 -4.321 -2.895
! - raw total energy (eV per atom) = -3.946
! - energy relative to the elements, uncorrected (eV/atom) = 0.096